The following is a DFT calculation (meta-GGA SCAN) of a crystal of CoHgCl2 relaxed with PBEsol.

Output
For the size of the total moment, the calculation gives 2.52 μB/cell. For the excess energy over the best structure of this formula in the dataset, the calculation gives 0.790 eV per atom. As for the volume: 18.7 A^3/atom.

Cell: 3.351 4.722 4.722 Å, 90.00 90.00 90.00°
Site moments in Bohr magnetons follow the coordinates.
Atoms (fractional coordinates):
Co 0.500 0.500 0.500  2.15
Cl 0.000 0.500 0.000  0.06
Hg 0.500 0.000 0.000  0.15
Cl 0.000 0.000 0.500  0.06

---

The following is a DFT calculation (meta-GGA SCAN) of a crystal of Co2HgCl relaxed with PBEsol.

Output
For the size of the total moment, the calculation gives 3.73 μB/cell. For the excess energy over the best structure of this formula in the dataset, the calculation gives 0.000 eV per atom. As for the volume: 19.0 A^3/atom.

Cell: 2.974 4.919 5.643 Å, 84.34 74.72 72.40°
Site moments in Bohr magnetons follow the coordinates.
Atoms (fractional coordinates):
Co 0.155 0.041 0.648  1.85
Hg 0.500 0.500 0.500  -0.04
Cl 0.500 0.000 0.000  0.04
Co 0.845 0.959 0.352  1.85

---

The following is a DFT calculation (meta-GGA SCAN) of a crystal of CoHgS2Cl relaxed with PBEsol.

Output
For the size of the total moment, the calculation gives 2.99 μB/cell. As for the volume: 24.1 A^3/atom. The total energy is -21.646 eV/atom.

Cell: 4.923 4.923 4.966 Å, 90.00 90.00 90.00°
Site moments in Bohr magnetons follow the coordinates.
Atoms (fractional coordinates):
Hg 0.000 0.000 0.000  0.00
Co 0.500 0.500 0.500  2.58
S 0.000 0.500 0.000  0.10
Cl 0.000 0.000 0.500  0.01
S 0.500 0.000 0.000  0.10

---

Number 1: Fermi-level density of states 2.73 states/eV/f.u.. Number 2: Fermi-level density of states 2.84 states/eV/f.u.. Number 3: Fermi-level density of states 2.69 states/eV/f.u..